1.
Entry from Alexandria: crystalline NaZn2Ge at its relaxed geometry (PBE).

Unit cell a=4.027 b=4.027 c=9.840 alpha=90.00 beta=90.00 gamma=90.00
Element x y z (fractional)
Na (0.500, 0.000, 0.234)
Na (0.000, 0.500, 0.766)
Zn (0.500, 0.000, 0.938)
Zn (0.000, 0.500, 0.062)
Zn (0.000, 0.000, 0.500)
Zn (0.500, 0.500, 0.500)
Ge (0.500, 0.000, 0.665)
Ge (0.000, 0.500, 0.335)

Output
ΔE_f in eV/atom: 0.01
Raw total energy in eV per formula unit: -8.45
SG: P4/nmm, No. 129


2.
Entry from Alexandria: crystalline Cs2BiOsCl6 at its relaxed geometry (PBE).

Unit cell a=7.452 b=7.452 c=7.508 alpha=60.25 beta=60.25 gamma=90.00
Element x y z (fractional)
Cs (0.750, 0.250, 0.500)
Cs (0.250, 0.750, 0.500)
Os (0.500, 0.500, 0.000)
Bi (0.000, 0.000, 0.000)
Cl (0.272, 0.272, 0.455)
Cl (0.728, 0.728, 0.545)
Cl (0.270, 0.270, 0.000)
Cl (0.730, 0.730, 0.000)
Cl (0.730, 0.270, 0.000)
Cl (0.270, 0.730, 0.000)

Output
Energy relative to the elements, uncorrected in eV per atom: -0.904
Raw total energy in eV per formula unit: -36.94
SG: I4/mmm, No. 139


3.
Entry from Alexandria: crystalline La4NdS7 at its relaxed geometry (PBE).

Unit cell a=4.039 b=7.129 c=12.029 alpha=104.75 beta=90.00 gamma=106.46
Element x y z (fractional)
La (0.699, 0.397, 0.809)
La (0.302, 0.604, 0.190)
La (0.000, 0.000, 0.999)
La (0.111, 0.223, 0.423)
Nd (0.888, 0.776, 0.579)
S (0.739, 0.479, 0.354)
S (0.264, 0.528, 0.648)
S (0.341, 0.681, 0.949)
S (0.659, 0.318, 0.050)
S (0.044, 0.088, 0.783)
S (0.956, 0.911, 0.215)
S (0.497, 0.994, 0.500)

Output
Energy relative to the elements, uncorrected in eV per atom: -2.154
Raw total energy in eV per formula unit: -79.22
SG: Cm, No. 8


4.
Entry from Alexandria: crystalline CsMgUTe3 at its relaxed geometry (PBE).

Unit cell a=4.567 b=10.341 c=11.185 alpha=111.49 beta=90.00 gamma=90.00
Element x y z (fractional)
Cs (0.750, 0.786, 0.758)
Cs (0.250, 0.214, 0.242)
Mg (0.250, 0.087, 0.612)
Mg (0.750, 0.913, 0.388)
U (0.250, 0.666, 0.134)
U (0.750, 0.334, 0.866)
Te (0.250, 0.794, 0.455)
Te (0.750, 0.879, 0.131)
Te (0.750, 0.473, 0.162)
Te (0.750, 0.206, 0.545)
Te (0.250, 0.527, 0.838)
Te (0.250, 0.121, 0.869)

Output
Energy relative to the elements, uncorrected in eV per atom: -0.851
Raw total energy in eV per formula unit: -28.27
SG: P2_1/m, No. 11


5.
Entry from Alexandria: crystalline Zr2SnP at its relaxed geometry (PBE).

Unit cell a=3.650 b=3.712 c=7.615 alpha=104.19 beta=90.00 gamma=119.45
Element x y z (fractional)
Zr (0.265, 0.030, 0.304)
Zr (0.735, 0.970, 0.696)
Sn (0.500, 0.500, 0.000)
P (0.000, 0.500, 0.500)

Output
ΔE_f in eV/atom: -0.89
Raw total energy in eV per formula unit: -30.07
SG: C2/m, No. 12


6.
Entry from Alexandria: crystalline LiSiTe2 at its relaxed geometry (PBE).

Unit cell a=5.315 b=3.163 c=6.458 alpha=63.06 beta=90.00 gamma=90.00
Element x y z (fractional)
Li (0.000, 0.617, 0.384)
Si (0.500, 0.773, 0.850)
Te (0.000, 0.013, 0.885)
Te (0.500, 0.098, 0.381)

Output
Energy relative to the elements, uncorrected in eV per atom: -0.175
Raw total energy in eV per formula unit: -14.32
SG: Pm, No. 6


7.
Entry from Alexandria: crystalline NdYCo2 at its relaxed geometry (PBE).

Unit cell a=3.908 b=5.668 c=7.685 alpha=90.00 beta=90.00 gamma=90.00
Element x y z (fractional)
Nd (0.500, 0.367, 0.323)
Nd (0.500, 0.633, 0.823)
Y (0.000, 0.132, 0.680)
Y (0.000, 0.868, 0.180)
Co (0.000, 0.668, 0.525)
Co (0.000, 0.332, 0.025)
Co (0.500, 0.854, 0.472)
Co (0.500, 0.146, 0.972)

Output
ΔE_f in eV/atom: -0.12
Raw total energy in eV per formula unit: -25.92
SG: Pmc2_1, No. 26


8.
Entry from Alexandria: crystalline Tm4Zn3Ga16 at its relaxed geometry (PBE).

Unit cell a=6.227 b=6.227 c=11.240 alpha=90.00 beta=90.00 gamma=90.00
Element x y z (fractional)
Tm (0.500, 0.000, 0.813)
Tm (0.000, 0.500, 0.187)
Tm (0.000, 0.500, 0.813)
Tm (0.500, 0.000, 0.187)
Zn (0.000, 0.500, 0.500)
Zn (0.000, 0.000, 0.000)
Zn (0.500, 0.000, 0.500)
Ga (0.000, 0.000, 0.764)
Ga (0.290, 0.290, 0.000)
Ga (0.500, 0.500, 0.804)
Ga (0.710, 0.290, 0.000)
Ga (0.500, 0.500, 0.196)
Ga (0.710, 0.710, 0.000)
Ga (0.000, 0.000, 0.236)
Ga (0.742, 0.742, 0.625)
Ga (0.742, 0.258, 0.375)
Ga (0.258, 0.258, 0.625)
Ga (0.258, 0.742, 0.375)
Ga (0.290, 0.710, 0.000)
Ga (0.742, 0.742, 0.375)
Ga (0.742, 0.258, 0.625)
Ga (0.258, 0.258, 0.375)
Ga (0.258, 0.742, 0.625)

Output
ΔE_f in eV/atom: -0.30
Raw total energy in eV per formula unit: -77.01
SG: P4/mmm, No. 123


9.
Entry from Alexandria: crystalline CsBaFe3 at its relaxed geometry (PBE).

Unit cell a=5.327 b=5.327 c=5.327 alpha=90.00 beta=90.00 gamma=90.00
Element x y z (fractional)
Cs (0.000, 0.000, 0.000)
Ba (0.500, 0.500, 0.500)
Fe (0.000, 0.500, 0.000)
Fe (0.000, 0.000, 0.500)
Fe (0.500, 0.000, 0.000)

Output
ΔE_f in eV/atom: 2.02
Raw total energy in eV per formula unit: -18.05
SG: Pm-3m, No. 221


10.
Entry from Alexandria: crystalline Cs2NbMoI6 at its relaxed geometry (PBE).

Unit cell a=8.361 b=8.361 c=8.345 alpha=59.94 beta=59.94 gamma=90.00
Element x y z (fractional)
Cs (0.750, 0.250, 0.500)
Cs (0.250, 0.750, 0.500)
I (0.250, 0.250, 0.500)
I (0.750, 0.750, 0.500)
I (0.251, 0.251, 0.000)
I (0.749, 0.749, 0.000)
I (0.749, 0.251, 0.000)
I (0.251, 0.749, 0.000)
Mo (0.000, 0.000, 0.000)
Nb (0.500, 0.500, 0.000)

Output
Energy relative to the elements, uncorrected in eV per atom: -0.502
Raw total energy in eV per formula unit: -36.93
SG: I4/mmm, No. 139


11.
Entry from Alexandria: crystalline NbCu2Sn at its relaxed geometry (PBE).

Unit cell a=7.110 b=7.110 c=5.752 alpha=51.82 beta=51.82 gamma=90.00
Element x y z (fractional)
Nb (0.500, 0.500, 0.000)
Nb (0.250, 0.750, 0.500)
Sn (0.000, 0.000, 0.000)
Sn (0.750, 0.250, 0.500)
Cu (0.627, 0.125, 0.250)
Cu (0.123, 0.625, 0.250)
Cu (0.375, 0.373, 0.750)
Cu (0.875, 0.877, 0.750)

Output
ΔE_f in eV/atom: 0.38
Raw total energy in eV per formula unit: -20.74
SG: I-42d, No. 122


12.
Entry from Alexandria: crystalline KBiSe2Br at its relaxed geometry (PBE).

Unit cell a=5.730 b=5.730 c=5.570 alpha=90.00 beta=90.00 gamma=90.00
Element x y z (fractional)
K (0.000, 0.000, 0.000)
Se (0.000, 0.500, 0.000)
Se (0.500, 0.000, 0.000)
Bi (0.500, 0.500, 0.500)
Br (0.000, 0.000, 0.500)

Output
Energy relative to the elements, uncorrected in eV per atom: 0.511
Raw total energy in eV per formula unit: -11.07
SG: P4/mmm, No. 123


13.
Entry from Alexandria: crystalline YZrPb2 at its relaxed geometry (PBE).

Unit cell a=4.830 b=4.830 c=4.438 alpha=90.00 beta=90.00 gamma=90.00
Element x y z (fractional)
Pb (0.000, 0.000, 0.000)
Pb (0.500, 0.500, 0.000)
Y (0.500, 0.000, 0.500)
Zr (0.000, 0.500, 0.500)

Output
ΔE_f in eV/atom: -0.23
Raw total energy in eV per formula unit: -23.35
SG: P4/mmm, No. 123


14.
Entry from Alexandria: crystalline NaGeBi at its relaxed geometry (PBE).

Unit cell a=6.220 b=3.222 c=8.878 alpha=100.46 beta=110.51 gamma=90.00
Element x y z (fractional)
Na (0.622, 0.122, 0.244)
Na (0.378, 0.878, 0.756)
Ge (0.793, 0.500, 0.000)
Ge (0.207, 0.500, 0.000)
Bi (0.167, 0.667, 0.334)
Bi (0.833, 0.333, 0.666)

Output
ΔE_f in eV/atom: 0.00
Raw total energy in eV per formula unit: -9.83
SG: Immm, No. 71


15.
Entry from Alexandria: crystalline CeCd6Au2 at its relaxed geometry (PBE).

Unit cell a=4.301 b=4.301 c=11.191 alpha=90.00 beta=90.00 gamma=90.00
Element x y z (fractional)
Ce (0.000, 0.000, 0.000)
Cd (0.000, 0.500, 0.288)
Cd (0.500, 0.000, 0.288)
Cd (0.000, 0.500, 0.712)
Cd (0.500, 0.000, 0.712)
Cd (0.500, 0.500, 0.500)
Cd (0.000, 0.000, 0.500)
Au (0.500, 0.500, 0.120)
Au (0.500, 0.500, 0.880)

Output
ΔE_f in eV/atom: -0.23
Raw total energy in eV per formula unit: -20.08
SG: P4/mmm, No. 123


16.
Entry from Alexandria: crystalline Mg2ScBr at its relaxed geometry (PBE).

Unit cell a=5.141 b=5.141 c=5.141 alpha=60.00 beta=60.00 gamma=60.00
Element x y z (fractional)
Br (0.500, 0.500, 0.500)
Mg (0.000, 0.000, 0.000)
Mg (0.250, 0.250, 0.250)
Sc (0.750, 0.750, 0.750)

Output
Energy relative to the elements, uncorrected in eV per atom: 0.030
Raw total energy in eV per formula unit: -11.07
SG: F-43m, No. 216


17.
Entry from Alexandria: crystalline SiSb at its relaxed geometry (PBE).

Unit cell a=4.417 b=4.417 c=4.417 alpha=60.00 beta=60.00 gamma=60.00
Element x y z (fractional)
Sb (0.000, 0.000, 0.000)
Si (0.750, 0.750, 0.750)

Output
Energy relative to the elements, uncorrected in eV per atom: 0.487
Raw total energy in eV per formula unit: -8.57
SG: F-43m, No. 216


18.
Entry from Alexandria: crystalline ScPbN2 at its relaxed geometry (PBE).

Unit cell a=5.208 b=5.208 c=6.319 alpha=65.66 beta=65.66 gamma=90.00
Element x y z (fractional)
Pb (0.000, 0.000, 0.000)
Pb (0.750, 0.250, 0.500)
Sc (0.500, 0.500, 0.000)
Sc (0.250, 0.750, 0.500)
N (0.582, 0.125, 0.250)
N (0.168, 0.625, 0.250)
N (0.375, 0.418, 0.750)
N (0.875, 0.832, 0.750)

Output
Energy relative to the elements, uncorrected in eV per atom: -0.332
Raw total energy in eV per formula unit: -28.02
SG: I-42d, No. 122


19.
Entry from Alexandria: crystalline Cs2NaBi2 at its relaxed geometry (PBE).

Unit cell a=8.694 b=8.694 c=6.286 alpha=90.00 beta=90.00 gamma=90.00
Element x y z (fractional)
Cs (0.169, 0.669, 0.500)
Cs (0.669, 0.831, 0.500)
Cs (0.831, 0.331, 0.500)
Cs (0.331, 0.169, 0.500)
Na (0.000, 0.000, 0.000)
Na (0.500, 0.500, 0.000)
Bi (0.377, 0.877, 0.000)
Bi (0.877, 0.623, 0.000)
Bi (0.623, 0.123, 0.000)
Bi (0.123, 0.377, 0.000)

Output
ΔE_f in eV/atom: -0.28
Raw total energy in eV per formula unit: -12.19
SG: P4/mbm, No. 127


20.
Entry from Alexandria: crystalline Pt7Rh2Au at its relaxed geometry (PBE).

Unit cell a=4.081 b=7.563 c=7.563 alpha=123.01 beta=90.00 gamma=90.00
Element x y z (fractional)
Pt (0.000, 0.800, 0.200)
Pt (0.000, 0.200, 0.800)
Pt (0.500, 0.081, 0.297)
Pt (0.500, 0.919, 0.703)
Pt (0.500, 0.297, 0.081)
Pt (0.500, 0.703, 0.919)
Pt (0.500, 0.500, 0.500)
Rh (0.500, 0.694, 0.306)
Rh (0.500, 0.306, 0.694)
Au (0.000, 0.000, 0.000)

Output
ΔE_f in eV/atom: 0.52
Raw total energy in eV per formula unit: -55.09
SG: Cmmm, No. 65


21.
Entry from Alexandria: crystalline Cs5Au4Cl at its relaxed geometry (PBE).

Unit cell a=4.317 b=4.317 c=21.830 alpha=90.00 beta=90.00 gamma=90.00
Element x y z (fractional)
Cs (0.500, 0.500, 0.094)
Cs (0.500, 0.500, 0.298)
Cs (0.500, 0.500, 0.500)
Cs (0.500, 0.500, 0.702)
Cs (0.500, 0.500, 0.906)
Au (0.000, 0.000, 0.198)
Au (0.000, 0.000, 0.399)
Au (0.000, 0.000, 0.601)
Au (0.000, 0.000, 0.802)
Cl (0.000, 0.000, 0.000)

Output
Energy relative to the elements, uncorrected in eV per atom: -0.641
Raw total energy in eV per formula unit: -25.63
SG: P4/mmm, No. 123


22.
Entry from Alexandria: crystalline Na2CuH6Ru at its relaxed geometry (PBE).

Unit cell a=4.996 b=4.996 c=5.017 alpha=60.06 beta=60.06 gamma=89.99
Element x y z (fractional)
Na (0.750, 0.250, 0.500)
Na (0.250, 0.750, 0.500)
Cu (0.500, 0.500, 0.000)
H (0.246, 0.246, 0.505)
H (0.752, 0.752, 0.999)
H (0.249, 0.751, 0.000)
H (0.751, 0.249, 0.000)
H (0.248, 0.248, 0.001)
H (0.754, 0.754, 0.495)
Ru (0.000, 0.000, 0.000)

Output
Raw total energy in eV per formula unit: -36.63
SG: C2/m, No. 12


23.
Entry from Alexandria: crystalline Ce2Tm3ThP6 at its relaxed geometry (PBE).

Unit cell a=4.038 b=8.044 c=9.004 alpha=102.62 beta=102.96 gamma=90.00
Element x y z (fractional)
Ce (0.833, 0.666, 0.665)
Ce (0.167, 0.334, 0.335)
Tm (0.500, 0.500, 0.000)
Tm (0.833, 0.167, 0.666)
Tm (0.167, 0.833, 0.334)
Th (0.500, 0.000, 0.000)
P (0.331, 0.921, 0.662)
P (0.665, 0.588, 0.329)
P (0.669, 0.079, 0.338)
P (0.998, 0.257, 0.997)
P (0.002, 0.743, 0.003)
P (0.335, 0.412, 0.671)

Output
ΔE_f in eV/atom: -1.56
Raw total energy in eV per formula unit: -83.91
SG: C2/m, No. 12


24.
Entry from Alexandria: crystalline CeNdTlTe at its relaxed geometry (PBE).

Unit cell a=4.520 b=4.520 c=6.376 alpha=90.00 beta=90.00 gamma=90.00
Element x y z (fractional)
Ce (0.000, 0.000, 0.000)
Nd (0.500, 0.500, 0.500)
Tl (0.500, 0.500, 0.000)
Te (0.000, 0.000, 0.500)

Output
Energy relative to the elements, uncorrected in eV per atom: -0.788
Raw total energy in eV per formula unit: -19.36
SG: P4/mmm, No. 123